# MoP2I GGA-PBE relaxed
# **Total energy**: -76.97 eV for the cell shown
data_MoP2I
_chemical_formula_sum 'Mo4 P8 I4'
_cell_length_a 6.496
_cell_length_b 6.496
_cell_length_c 6.496
_cell_angle_alpha 90.00
_cell_angle_beta 90.00
_cell_angle_gamma 90.00
_space_group_name_H-M_alt 'F m -3 m'
_space_group_IT_number 225
_space_group_name_Hall '-F 4 2 3'
loop_
_atom_site_label
_atom_site_type_symbol
_atom_site_fract_x
_atom_site_fract_y
_atom_site_fract_z
_atom_site_occupancy
Mo1 Mo 0.000 0.000 0.000 1
P1 P 0.250 0.250 0.250 1
I1 I 0.000 0.000 0.500 1